Entry 1:
Dy3Tl3ZnSe8 | PBE-GGA | relaxed

Summary:
**Formation energy without anion corrections**: -1.05 eV per atom
**DOS at the Fermi energy**: 27.22 states/eV/cell
**Electronic total energy**: -4.390 eV/atom

Lattice parameters (Å, degrees): 14.2945 8.2508 8.9114 90.00 122.45 90.00
With the nearest neighbours (Å) after each atom.
Space group C2/m (No. 12)
One atom of each set of equivalent atoms:
Dy  0.0000  0.0000  0.0000  6 Se 2.86-2.87
Dy  0.2500  0.2500  0.0000  6 Se 2.86-2.87
Tl  0.0000  0.5000  0.5000  6 Se 3.22-3.24
Tl  0.2500  0.2500  0.5000  6 Se 3.23-3.24
Zn  0.0000  0.5000  0.0000  6 Se 2.71-2.74
Se  0.0125  0.2609  0.7988  1 Zn 2.74, 2 Dy 2.87
Se  0.2249  0.5000  0.1997  1 Zn 2.71, 2 Dy 2.87
Se  0.2372  0.0000  0.2112  3 Dy 2.86

***

Entry 2:
DyZrTl2Se4 | PBE-GGA | relaxed

Summary:
**Formation energy without anion corrections**: -1.15 eV per atom
**DOS at the Fermi energy**: 4.10 states/eV/cell
**Electronic total energy**: -5.129 eV/atom

Lattice parameters (Å, degrees): 6.9641 3.9648 8.3367 90.00 105.15 90.00
With the nearest neighbours (Å) after each atom.
Space group P2/m (No. 10)
One atom of each set of equivalent atoms:
Dy  0.0000  0.0000  0.0000  6 Se 2.86-2.87
Zr  0.5000  0.5000  0.0000  6 Se 2.76-2.77
Tl  0.0000  0.5000  0.5000  6 Se 3.35-3.39
Tl  0.5000  0.0000  0.5000  6 Se 3.27-3.30
Se  0.2447  0.5000  0.2034  1 Zr 2.76, 2 Dy 2.86
Se  0.2807  0.0000  0.8016  2 Zr 2.77, 1 Dy 2.87

***

Entry 3:
DyTm4Se6 | PBE-GGA | relaxed

Summary:
**Formation energy without anion corrections**: -1.77 eV per atom
**DOS at the Fermi energy**: 11.70 states/eV/cell
**Electronic total energy**: -5.718 eV/atom

Lattice parameters (Å, degrees): 3.9463 13.2062 20.5079 90.00 90.00 90.00
With the nearest neighbours (Å) after each atom.
Space group Cmcm (No. 63)
One atom of each set of equivalent atoms:
Dy  0.0000  0.1518  0.2500  6 Se 2.89-2.94
Tm  0.0000  0.0900  0.6264  6 Se 2.82-2.85
Tm  0.0000  0.3596  0.5378  6 Se 2.81-2.89
Se  0.0000  0.0000  0.0000  6 Tm 2.82-2.85
Se  0.0000  0.1888  0.7500  2 Tm 2.85, 2 Dy 2.89
Se  0.0000  0.2685  0.0903  5 Tm 2.81-2.89
Se  0.0000  0.4483  0.6654  3 Tm 2.83-2.87, 2 Dy 2.94

***

Entry 4:
Dy5Tm3Se8 | PBE-GGA | relaxed

Summary:
**Formation energy without anion corrections**: -1.71 eV per atom
**DOS at the Fermi energy**: 30.67 states/eV/cell
**Electronic total energy**: -5.729 eV/atom

Lattice parameters (Å, degrees): 8.1042 8.1042 19.8739 90.00 90.00 120.00
With the nearest neighbours (Å) after each atom.
Space group R-3m (No. 166, hexagonal axes)
One atom of each set of equivalent atoms:
Dy  0.0000  0.0000  0.0000  6 Se 2.87
Dy  0.0000  0.0000  0.5000  6 Se 2.87
Dy  0.0000  0.5000  0.0000  6 Se 2.89
Tm  0.0000  0.5000  0.5000  6 Se 2.84
Se  0.0000  0.0000  0.2480  3 Tm 2.84, 3 Dy 2.89
Se  0.0028  0.5014  0.7514  2 Tm 2.84, 4 Dy 2.87-2.89

***

Entry 5:
DyTmSe2 | PBE-GGA | relaxed

Summary:
**Excess energy over the best structure of this formula in the dataset**: 0.0000 eV/atom
**Formation energy without anion corrections**: -1.70 eV per atom
**DOS at the Fermi energy**: 5.68 states/eV/cell
**Electronic total energy**: -5.715 eV/atom

Lattice parameters (Å, degrees): 4.0474 4.0474 19.7911 90.00 90.00 120.00
With the nearest neighbours (Å) after each atom.
Space group R-3m (No. 166, hexagonal axes)
One atom of each set of equivalent atoms:
Dy  0.0000  0.0000  0.0000  6 Se 2.88
Tm  0.0000  0.0000  0.5000  6 Se 2.84
Se  0.0000  0.0000  0.2480  3 Tm 2.84, 3 Dy 2.88

***

Entry 6:
Dy2TmSe | PBE-GGA | relaxed

Summary:
**Excess energy over the best structure of this formula in the dataset**: 0.2827 eV/atom
**Formation energy without anion corrections**: -0.52 eV per atom
**DOS at the Fermi energy**: 15.27 states/eV/cell
**Electronic total energy**: -4.811 eV/atom

Lattice parameters (Å, degrees): 3.6987 3.6987 30.7789 90.00 90.00 120.00
With the nearest neighbours (Å) after each atom.
Space group R-3m (No. 166, hexagonal axes)
One atom of each set of equivalent atoms:
Dy  0.0000  0.0000  0.1078  3 Se 2.80
Tm  0.0000  0.0000  0.0000  2 Dy 3.32, 6 Tm 3.70
Se  0.0000  0.0000  0.5000  6 Dy 2.80

***

Entry 7:
DyTm3Se6 | PBE-GGA | relaxed

Summary:
**Excess energy over the best structure of this formula in the dataset**: 0.0363 eV/atom
**Formation energy without anion corrections**: -1.81 eV per atom
**DOS at the Fermi energy**: 0.00 states/eV/cell
**Electronic total energy**: -5.707 eV/atom

Lattice parameters (Å, degrees): 11.8553 11.8553 14.1960 90.00 90.00 120.00
With the nearest neighbours (Å) after each atom.
Space group R-3 (No. 148, hexagonal axes)
One atom of each set of equivalent atoms:
Dy  0.0000  0.0000  0.0000  6 Se 2.81
Dy  0.0000  0.0000  0.5000  6 Se 2.85
Tm  0.0530  0.2718  0.2017  6 Se 2.80-2.93
Se  0.0180  0.2134  0.3956  3 Tm 2.82-2.93, 1 Dy 2.85
Se  0.0322  0.1955  0.8732  3 Tm 2.80-2.91, 1 Dy 2.81

***

Entry 8:
Dy6TmSe8 | PBE-GGA | relaxed

Summary:
**Formation energy without anion corrections**: -1.83 eV per atom
**DOS at the Fermi energy**: 24.95 states/eV/cell
**Electronic total energy**: -5.824 eV/atom

Lattice parameters (Å, degrees): 11.4782 11.4782 11.4782 90.00 90.00 90.00
With the nearest neighbours (Å) after each atom.
Space group Fm-3m (No. 225)
One atom of each set of equivalent atoms:
Dy  0.0000  0.2500  0.2500  6 Se 2.87
Tm  0.0000  0.0000  0.0000  6 Se 2.88
Se  0.0000  0.0000  0.2508  4 Dy 2.87, 1 Tm 2.88
Se  0.2500  0.2500  0.2500  6 Dy 2.87

***

Entry 9:
Dy2Tm2Se3 | PBE-GGA | relaxed

Summary:
**Formation energy without anion corrections**: -1.44 eV per atom
**DOS at the Fermi energy**: 7.26 states/eV/cell
**Electronic total energy**: -5.524 eV/atom

Lattice parameters (Å, degrees): 13.3163 3.9359 6.8663 90.00 101.09 90.00
With the nearest neighbours (Å) after each atom.
Space group C2/m (No. 12)
One atom of each set of equivalent atoms:
Dy  0.1228  0.0000  0.3541  5 Se 2.86-2.87
Tm  0.1161  0.5000  0.8867  4 Se 2.80-2.84
Se  0.0000  0.5000  0.5000  2 Tm 2.80, 4 Dy 2.86
Se  0.2394  0.0000  0.7499  3 Tm 2.84, 3 Dy 2.86-2.87

***

Entry 10:
DyTmSe | PBE-GGA | relaxed

Summary:
**Excess energy over the best structure of this formula in the dataset**: 0.0000 eV/atom
**Formation energy without anion corrections**: -1.09 eV per atom
**DOS at the Fermi energy**: 2.72 states/eV/cell
**Electronic total energy**: -5.277 eV/atom

Lattice parameters (Å, degrees): 3.8142 3.8142 6.4942 90.00 90.00 120.00
With the nearest neighbours (Å) after each atom.
Space group P3m1 (No. 156)
One atom of each set of equivalent atoms:
Dy  0.0000  0.0000  0.0000  3 Se 2.88
Tm  0.3333  0.6667  0.5631  3 Se 2.85
Se  0.6667  0.3333  0.2853  3 Tm 2.85, 3 Dy 2.88

***

Entry 11:
DyTmSe2 | PBE-GGA | relaxed

Summary:
**Excess energy over the best structure of this formula in the dataset**: 0.0071 eV/atom
**Formation energy without anion corrections**: -1.70 eV per atom
**DOS at the Fermi energy**: 3.27 states/eV/cell
**Electronic total energy**: -5.708 eV/atom

Lattice parameters (Å, degrees): 3.9207 3.9207 21.3405 90.00 90.00 120.00
With the nearest neighbours (Å) after each atom.
Space group R3m (No. 160, hexagonal axes)
One atom of each set of equivalent atoms:
Dy  0.0000  0.0000  0.0000  6 Se 2.82-2.95
Tm  0.0000  0.0000  0.1765  6 Se 2.81-2.94
Se  0.0000  0.0000  0.4217  3 Tm 2.94, 3 Dy 2.95
Se  0.0000  0.0000  0.5882  3 Tm 2.81, 3 Dy 2.82

***

Entry 12:
Dy3TmSe4 | PBE-GGA | relaxed

Summary:
**Excess energy over the best structure of this formula in the dataset**: 0.0000 eV/atom
**Formation energy without anion corrections**: -1.72 eV per atom
**DOS at the Fermi energy**: 9.25 states/eV/cell
**Electronic total energy**: -5.750 eV/atom

Lattice parameters (Å, degrees): 7.0738 8.0306 7.0525 90.00 109.19 90.00
With the nearest neighbours (Å) after each atom.
Space group P2/c (No. 13)
One atom of each set of equivalent atoms:
Dy  0.0000  0.1237  0.2500  6 Se 2.88-2.90
Dy  0.0000  0.3739  0.7500  6 Se 2.86-2.90
Dy  0.5000  0.1240  0.7500  6 Se 2.86-2.88
Tm  0.5000  0.3739  0.2500  6 Se 2.84-2.85
Se  0.2519  0.1272  0.0021  1 Tm 2.84, 5 Dy 2.86-2.88
Se  0.2539  0.3771  0.4998  2 Tm 2.85, 4 Dy 2.87-2.90